1.
The following is a GGA-PBE calculation of a geometry-optimized DyLuGaOs structure, from Alexandria.

The formation energy comes out at -0.393 eV per atom. The final energy comes out at -99.8 eV per cell.

It has space group F-43m (No. 216), with a = 6.8907 Å, b = 6.8907 Å, c = 6.8907 Å, α = 90.00°, β = 90.00° and γ = 90.00°. Symmetry generates all atoms from Dy at (0.0000, 0.0000, 0.0000), Lu at (0.0000, 0.0000, 0.5000), Ga at (0.2500, 0.2500, 0.2500) and Os at (0.2500, 0.2500, 0.7500).

---

2.
The following is a GGA-PBE calculation of a geometry-optimized PmDyLuGa structure, from Alexandria.

The formation energy comes out at -0.111 eV per atom. The final energy comes out at -69.4 eV per cell.

It has space group F-43m (No. 216), with a = 7.5336 Å, b = 7.5336 Å, c = 7.5336 Å, α = 90.00°, β = 90.00° and γ = 90.00°. Symmetry generates all atoms from Pm at (0.0000, 0.0000, 0.0000), Dy at (0.0000, 0.0000, 0.5000), Lu at (0.2500, 0.2500, 0.2500) and Ga at (0.2500, 0.2500, 0.7500).

---

3.
The following is a GGA-PBE calculation of a geometry-optimized DyLuGaRu structure, from Alexandria.

The formation energy comes out at -0.486 eV per atom. The final energy comes out at -93.5 eV per cell.

It has space group F-43m (No. 216), with a = 6.8989 Å, b = 6.8989 Å, c = 6.8989 Å, α = 90.00°, β = 90.00° and γ = 90.00°. Symmetry generates all atoms from Dy at (0.0000, 0.0000, 0.0000), Lu at (0.0000, 0.0000, 0.5000), Ga at (0.2500, 0.2500, 0.7500) and Ru at (0.2500, 0.2500, 0.2500).

---

4.
The following is a GGA-PBE calculation of a geometry-optimized SmDyLuGa structure, from Alexandria.

The formation energy comes out at -0.109 eV per atom. The final energy comes out at -69.2 eV per cell.

It has space group F-43m (No. 216), with a = 7.5206 Å, b = 7.5206 Å, c = 7.5206 Å, α = 90.00°, β = 90.00° and γ = 90.00°. Symmetry generates all atoms from Sm at (0.0000, 0.0000, 0.0000), Dy at (0.0000, 0.0000, 0.5000), Lu at (0.2500, 0.2500, 0.7500) and Ga at (0.2500, 0.2500, 0.2500).

---

5.
The following is a GGA-PBE calculation of a geometry-optimized DyLuGaSn structure, from Alexandria.

The formation energy comes out at -0.510 eV per atom. The final energy comes out at -72.8 eV per cell.

It has space group F-43m (No. 216), with a = 7.3112 Å, b = 7.3112 Å, c = 7.3112 Å, α = 90.00°, β = 90.00° and γ = 90.00°. Symmetry generates all atoms from Dy at (0.0000, 0.0000, 0.0000), Lu at (0.0000, 0.0000, 0.5000), Ga at (0.2500, 0.2500, 0.2500) and Sn at (0.2500, 0.2500, 0.7500).

---

6.
The following is a GGA-PBE calculation of a geometry-optimized Dy4MgGa12 structure, from Alexandria.

The formation energy comes out at -0.498 eV per atom. The final energy comes out at -129.6 eV per cell.

It has space group Im-3m (No. 229), with a = 8.7437 Å, b = 8.7437 Å, c = 8.7437 Å, α = 90.00°, β = 90.00° and γ = 90.00°. Symmetry generates all atoms from Dy at (0.2500, 0.2500, 0.2500), Mg at (0.0000, 0.0000, 0.0000), Ga at (0.0000, 0.0000, 0.3102) and Ga at (0.0000, 0.2500, 0.5000).

---

7.
The following is a GGA-PBE calculation of a geometry-optimized DyMgGa structure, from Alexandria.

The formation energy comes out at -0.352 eV per atom. The final energy comes out at -41.1 eV per cell.

It has space group F-43m (No. 216), with a = 6.7098 Å, b = 6.7098 Å, c = 6.7098 Å, α = 90.00°, β = 90.00° and γ = 90.00°. Symmetry generates all atoms from Dy at (0.0000, 0.0000, 0.0000), Mg at (0.0000, 0.0000, 0.5000) and Ga at (0.2500, 0.2500, 0.2500).

---

8.
The following is a GGA-PBE calculation of a geometry-optimized DyMgGa4 structure, from Alexandria.

The calculation puts the offset from the most stable computed form at 0.104 eV per atom. The formation energy comes out at -0.287 eV per atom. The final energy comes out at -80.1 eV per cell.

It has space group F-43m (No. 216), with a = 7.7633 Å, b = 7.7633 Å, c = 7.7633 Å, α = 90.00°, β = 90.00° and γ = 90.00°. Symmetry generates all atoms from Dy at (0.0000, 0.0000, 0.0000), Mg at (0.2500, 0.2500, 0.7500) and Ga at (0.1252, 0.1252, 0.3748).

---

Question: Look up the final energy of the second one.
Answer: -69.4 eV per cell

---

Question: The highest final energy belongs to which entry?
Answer: DyMgGa

---

Question: Which value of final energy does entry 3 give?
Answer: -93.5 eV per cell